--- 1 ---
DFT (PBE) results for an optimized crystal structure of TbMg2Al.

Output
Total magnetic moment, μB per formula unit: 0.0
Symmetry: P4/mmm, No. 123

Lattice parameters (Å, degrees): 4.399 4.399 4.790 90.00 90.00 90.00
Fractional positions:
Tb1 0.000 0.000 0.000
Mg1 0.000 0.500 0.500
Mg2 0.500 0.000 0.500
Al1 0.500 0.500 0.000

--- 2 ---
DFT (PBE) results for an optimized crystal structure of TbMg2Al.

Output
Total magnetic moment, μB per formula unit: 0.0
Symmetry: Fm-3m, No. 225

Lattice parameters (Å, degrees): 5.011 5.011 5.011 60.00 60.00 60.00
Fractional positions:
Tb1 0.000 0.000 0.000
Mg1 0.250 0.250 0.250
Mg2 0.750 0.750 0.750
Al1 0.500 0.500 0.500

Q: Which of them is the least stable? A: 2.

--- 1 ---
DFT (PBE) results for an optimized crystal structure of Tb3MgAl2.

Output
Total magnetic moment, μB per formula unit: 0.0
Symmetry: P-3m1, No. 164

Lattice parameters (Å, degrees): 5.187 5.187 12.687 90.00 90.00 120.00
Fractional positions:
Tb1 0.000 0.000 0.244
Tb2 0.000 0.000 0.756
Tb3 0.333 0.667 0.417
Tb4 0.333 0.667 0.922
Tb5 0.667 0.333 0.078
Tb6 0.667 0.333 0.583
Mg1 0.333 0.667 0.670
Mg2 0.667 0.333 0.330
Al1 0.000 0.000 0.000
Al2 0.000 0.000 0.500
Al3 0.333 0.667 0.173
Al4 0.667 0.333 0.827

--- 2 ---
DFT (PBE) results for an optimized crystal structure of Tb3MgAl2.

Output
Total magnetic moment, μB per formula unit: 0.0
Symmetry: P4/mmm, No. 123

Lattice parameters (Å, degrees): 3.647 3.647 11.235 90.00 90.00 90.00
Fractional positions:
Tb1 0.000 0.000 0.000
Tb2 0.000 0.000 0.320
Tb3 0.000 0.000 0.680
Mg1 0.500 0.500 0.500
Al1 0.500 0.500 0.164
Al2 0.500 0.500 0.836

Q: Which of them is the least stable? A: 2.

--- 1 ---
DFT (PBE) results for an optimized crystal structure of MgAlTc2.

Output
Total magnetic moment, μB per formula unit: 0.0
Symmetry: Fm-3m, No. 225

Lattice parameters (Å, degrees): 4.390 4.390 4.390 60.00 60.00 60.00
Fractional positions:
Mg1 0.000 0.000 0.000
Al1 0.500 0.500 0.500
Tc1 0.250 0.250 0.250
Tc2 0.750 0.750 0.750

--- 2 ---
DFT (PBE) results for an optimized crystal structure of MgAlTc2.

Output
Total magnetic moment, μB per formula unit: 0.0
Symmetry: C2/m, No. 12

Lattice parameters (Å, degrees): 5.104 5.104 4.401 115.33 115.33 36.34
Fractional positions:
Mg1 0.000 0.000 0.000
Al1 0.500 0.500 0.500
Tc1 0.245 0.245 0.744
Tc2 0.755 0.755 0.256

Q: Which of them is the least stable? A: 1.

--- 1 ---
DFT (PBE) results for an optimized crystal structure of Mg3AlTc.

Output
Total magnetic moment, μB per formula unit: 0.0
Symmetry: Pm-3m, No. 221

Lattice parameters (Å, degrees): 4.994 4.994 4.994 90.00 90.00 90.00
Fractional positions:
Mg1 0.000 0.000 0.500
Mg2 0.000 0.500 0.000
Mg3 0.500 0.000 0.000
Al1 0.500 0.500 0.500
Tc1 0.000 0.000 0.000

--- 2 ---
DFT (PBE) results for an optimized crystal structure of Mg3AlTc.

Output
Total magnetic moment, μB per formula unit: 3.5
Symmetry: Pm-3m, No. 221

Lattice parameters (Å, degrees): 5.016 5.016 5.016 90.00 90.00 90.00
Fractional positions:
Mg1 0.000 0.000 0.500
Mg2 0.000 0.500 0.000
Mg3 0.500 0.000 0.000
Al1 0.000 0.000 0.000
Tc1 0.500 0.500 0.500

Q: Which of them is the least stable? A: 2.

--- 1 ---
DFT (PBE) results for an optimized crystal structure of MgAlTc.

Output
Total magnetic moment, μB per formula unit: 0.0
Symmetry: P-1, No. 2

Lattice parameters (Å, degrees): 2.800 2.800 13.418 84.44 84.52 72.97
Fractional positions:
Mg1 0.216 0.216 0.100
Mg2 0.784 0.784 0.900
Al1 0.161 0.157 0.409
Al2 0.839 0.843 0.591
Tc1 0.341 0.343 0.735
Tc2 0.659 0.657 0.265

--- 2 ---
DFT (PBE) results for an optimized crystal structure of MgAlTc.

Output
Total magnetic moment, μB per formula unit: 0.3
Symmetry: I4mm, No. 107

Lattice parameters (Å, degrees): 5.189 5.189 5.189 143.62 143.62 52.39
Fractional positions:
Mg1 0.000 0.000 0.000
Al1 0.700 0.700 0.000
Tc1 0.324 0.324 0.000

Q: Which of them is the least stable? A: 1.

--- 1 ---
DFT (PBE) results for an optimized crystal structure of MgAlTc.

Output
Total magnetic moment, μB per formula unit: 0.0
Symmetry: Fmm2, No. 42

Lattice parameters (Å, degrees): 6.941 6.785 2.789 81.45 75.14 23.41
Fractional positions:
Mg1 0.000 0.000 0.000
Al1 0.687 0.687 0.313
Tc1 0.334 0.334 0.666

--- 2 ---
DFT (PBE) results for an optimized crystal structure of MgAlTc.

Output
Total magnetic moment, μB per formula unit: 0.0
Symmetry: P3m1, No. 156

Lattice parameters (Å, degrees): 4.437 4.437 2.749 90.00 90.00 120.00
Fractional positions:
Mg1 0.000 0.000 0.000
Al1 0.667 0.333 0.671
Tc1 0.333 0.667 0.388

Q: Which of them is the least stable? A: 1.